{
  "formula": "YHo2C2",
  "functional": "PBE-GGA",
  "state": "optimized geometry",
  "cell": [[5.7415, -2.5307, 0.0000], [5.7415, 2.5307, 0.0000], [-2.4529, 0.0000, 6.8938]],
  "species": ["Y", "Y", "Ho", "Ho", "Ho", "Ho", "C", "C", "C", "C"],
  "fractional_positions": [[0.1556, 0.1556, 0.0958], [0.8444, 0.8444, 0.9042], [0.1619, 0.1619, 0.5663], [0.4931, 0.4931, 0.2733], [0.5069, 0.5069, 0.7267], [0.8381, 0.8381, 0.4337], [0.0028, 0.0028, 0.7619], [0.3329, 0.3329, 0.4137], [0.6671, 0.6671, 0.5863], [0.9972, 0.9972, 0.2381]],
  "dos_ef_per_ev_fu": 1.83,
  "delta_e_f_mev_per_atom": -236
}